Entry 1:
This record from Alexandria via LeMat-Bulk describes a PBEsol-optimized structure of Na2SrLi. The functional is SCAN.

Calculated values
ΔE_f = 0.097 eV per atom
DOS at the Fermi energy = 2.4 states/eV per cell

```
Na2SrLi
1.0
0.000 4.186 4.186
4.186 0.000 4.186
4.186 4.186 0.000
Na Sr Li
2 1 1
direct
0.250 0.250 0.250
0.750 0.750 0.750
0.000 0.000 0.000
0.500 0.500 0.500
```

---

Entry 2:
This record from Alexandria via LeMat-Bulk describes a PBEsol-optimized structure of Na2Sr2Li. The functional is SCAN.

Calculated values
ΔE_f = 0.078 eV per atom
DOS at the Fermi energy = 7.2 states/eV per cell

```
Na2Sr2Li
1.0
8.342 0.000 0.000
0.000 8.342 0.000
0.000 0.000 5.835
Na Sr Li
4 4 2
direct
0.135 0.365 0.000
0.365 0.865 0.000
0.635 0.135 0.000
0.865 0.635 0.000
0.178 0.678 0.500
0.322 0.178 0.500
0.678 0.822 0.500
0.822 0.322 0.500
0.000 0.000 0.000
0.500 0.500 0.000
```

---

Entry 3:
This record from Alexandria via LeMat-Bulk describes a PBEsol-optimized structure of NaSr2Li. The functional is SCAN.

Calculated values
ΔE_f = 0.038 eV per atom
DOS at the Fermi energy = 3.3 states/eV per cell

```
NaSr2Li
1.0
0.000 4.324 4.324
4.324 0.000 4.324
4.324 4.324 0.000
Na Sr Li
1 2 1
direct
0.000 0.000 0.000
0.250 0.250 0.250
0.750 0.750 0.750
0.500 0.500 0.500
```

---

Entry 4:
This record from Alexandria via LeMat-Bulk describes a PBEsol-optimized structure of Na2SrLi. The functional is SCAN.

Calculated values
ΔE_f = 0.145 eV per atom
DOS at the Fermi energy = 5.2 states/eV per cell

```
Na2SrLi
1.0
-2.438 2.438 12.904
2.438 -2.438 12.904
2.438 2.438 -12.904
Na Sr Li
4 2 2
direct
0.093 0.625 0.968
0.375 0.343 0.468
0.657 0.125 0.032
0.875 0.907 0.532
0.250 0.750 0.500
0.500 0.500 0.000
0.000 0.000 0.000
0.750 0.250 0.500
```

---

Entry 5:
This record from Alexandria via LeMat-Bulk describes a PBEsol-optimized structure of NaSrLi3. The functional is SCAN.

Calculated values
ΔE_f = 0.200 eV per atom
DOS at the Fermi energy = 2.9 states/eV per cell

```
NaSrLi3
1.0
5.426 0.000 0.000
0.000 5.426 0.000
0.000 0.000 5.426
Na Sr Li
1 1 3
direct
0.000 0.000 0.000
0.500 0.500 0.500
0.000 0.000 0.500
0.000 0.500 0.000
0.500 0.000 0.000
```

---

Entry 6:
This record from Alexandria via LeMat-Bulk describes a PBEsol-optimized structure of NaSr2Li2. The functional is SCAN.

Calculated values
ΔE_f = 0.030 eV per atom
DOS at the Fermi energy = 7.5 states/eV per cell

```
NaSr2Li2
1.0
8.693 0.000 0.000
0.000 8.693 0.000
0.000 0.000 4.951
Na Sr Li
2 4 4
direct
0.000 0.000 0.000
0.500 0.500 0.000
0.174 0.326 0.500
0.326 0.826 0.500
0.674 0.174 0.500
0.826 0.674 0.500
0.121 0.621 0.000
0.379 0.121 0.000
0.621 0.879 0.000
0.879 0.379 0.000
```

---

Entry 7:
This record from Alexandria via LeMat-Bulk describes a PBEsol-optimized structure of NaLi3Te. The functional is SCAN.

Calculated values
DOS at the Fermi energy = 1.0 states/eV per cell
formation energy (no corrections) = -0.44 eV per atom

```
NaLi3Te
1.0
5.305 0.000 0.000
0.000 5.305 0.000
0.000 0.000 5.305
Na Li Te
1 3 1
direct
0.000 0.000 0.000
0.000 0.500 0.500
0.500 0.000 0.500
0.500 0.500 0.000
0.500 0.500 0.500
```

---

Entry 8:
This record from Alexandria via LeMat-Bulk describes a PBEsol-optimized structure of NaLi3Ti. The functional is SCAN.

Calculated values
ΔE_f = 0.776 eV per atom
DOS at the Fermi energy = 4.4 states/eV per cell

```
NaLi3Ti
1.0
5.324 0.000 0.000
0.000 5.324 0.000
0.000 0.000 5.324
Na Li Ti
1 3 1
direct
0.000 0.000 0.000
0.000 0.500 0.500
0.500 0.000 0.500
0.500 0.500 0.000
0.500 0.500 0.500
```

---

Entry 9:
This record from Alexandria via LeMat-Bulk describes a PBEsol-optimized structure of NaLi2Tl. The functional is SCAN.

Calculated values
ΔE_f = -0.259 eV per atom
DOS at the Fermi energy = 1.8 states/eV per cell

```
NaLi2Tl
1.0
0.000 3.475 3.475
3.475 0.000 3.475
3.475 3.475 0.000
Na Li Tl
1 2 1
direct
0.000 0.000 0.000
0.250 0.250 0.250
0.750 0.750 0.750
0.500 0.500 0.500
```

---

Entry 10:
This record from Alexandria via LeMat-Bulk describes a PBEsol-optimized structure of Na2LiTl2. The functional is SCAN.

Calculated values
ΔE_f = -0.155 eV per atom
DOS at the Fermi energy = 5.4 states/eV per cell

```
Na2LiTl2
1.0
7.418 0.000 0.000
0.000 7.418 0.000
0.000 0.000 4.987
Na Li Tl
4 2 4
direct
0.165 0.335 0.000
0.335 0.835 0.000
0.665 0.165 0.000
0.835 0.665 0.000
0.000 0.000 0.500
0.500 0.500 0.500
0.146 0.646 0.500
0.354 0.146 0.500
0.646 0.854 0.500
0.854 0.354 0.500
```

---

Entry 11:
This record from Alexandria via LeMat-Bulk describes a PBEsol-optimized structure of NaLi3Zn. The functional is SCAN.

Calculated values
ΔE_f = 0.079 eV per atom
DOS at the Fermi energy = 2.2 states/eV per cell

```
NaLi3Zn
1.0
4.967 0.000 0.000
0.000 4.967 0.000
0.000 0.000 4.967
Na Li Zn
1 3 1
direct
0.000 0.000 0.000
0.000 0.500 0.500
0.500 0.000 0.500
0.500 0.500 0.000
0.500 0.500 0.500
```

---

Entry 12:
This record from Alexandria via LeMat-Bulk describes a PBEsol-optimized structure of NaLiZr3. The functional is SCAN.

Calculated values
ΔE_f = 1.529 eV per atom
DOS at the Fermi energy = 6.4 states/eV per cell

```
NaLiZr3
1.0
5.028 0.000 0.000
0.000 5.028 0.000
0.000 0.000 5.028
Na Li Zr
1 1 3
direct
0.000 0.000 0.000
0.500 0.500 0.500
0.000 0.000 0.500
0.000 0.500 0.000
0.500 0.000 0.000
```

---

Entry 13:
This record from Alexandria via LeMat-Bulk describes a PBEsol-optimized structure of NaLiZr2. The functional is SCAN.

Calculated values
ΔE_f = 0.709 eV per atom
DOS at the Fermi energy = 4.0 states/eV per cell

```
NaLiZr2
1.0
0.000 3.462 3.462
3.462 0.000 3.462
3.462 3.462 0.000
Na Li Zr
1 1 2
direct
0.000 0.000 0.000
0.500 0.500 0.500
0.250 0.250 0.250
0.750 0.750 0.750
```

---

Entry 14:
This record from Alexandria via LeMat-Bulk describes a PBEsol-optimized structure of Li4NbNi3O8. The functional is SCAN.

Calculated values
DOS at the Fermi energy = 3.7 states/eV per cell
formation energy (no corrections) = -1.98 eV per atom

```
Li4NbNi3O8
1.0
2.910 1.680 4.830
-2.910 1.680 4.830
0.000 -3.360 4.830
Li Nb Ni O
4 1 3 8
direct
0.000 0.000 0.000
0.000 0.500 0.500
0.500 0.000 0.500
0.500 0.500 0.000
0.500 0.500 0.500
0.000 0.000 0.500
0.000 0.500 0.000
0.500 0.000 0.000
0.234 0.234 0.234
0.255 0.744 0.744
0.256 0.256 0.745
0.256 0.745 0.256
0.744 0.255 0.744
0.744 0.744 0.255
0.745 0.256 0.256
0.766 0.766 0.766
```